(1)
Pm3MnIr8, optimized geometry, DFT PBE; energy = -0.61462 Ry per atom; ΔE_f = -0.503 eV/atom; symmetry = R3m
1.0
2.687 1.551 8.750
-2.687 1.551 8.750
0.000 -3.103 8.750
Pm Mn Ir
3 1 8
direct
0.000 0.000 0.000
0.128 0.128 0.128
0.509 0.509 0.509
0.634 0.634 0.634
0.062 0.565 0.565
0.066 0.066 0.568
0.066 0.568 0.066
0.315 0.315 0.315
0.565 0.062 0.565
0.565 0.565 0.062
0.568 0.066 0.066
0.815 0.815 0.815

---

(2)
SrSbPd4, optimized geometry, DFT PBE; energy = -0.35963 Ry per atom; offset from the most stable computed form = 0 meV/atom; E_form (uncorrected) = -0.4638 eV/atom; symmetry = Pmma
1.0
7.960 0.000 0.000
0.000 4.175 0.000
0.000 0.000 7.399
Sr Sb Pd
2 2 8
direct
0.250 0.000 0.153
0.750 0.000 0.847
0.250 0.000 0.724
0.750 0.000 0.276
0.000 0.000 0.500
0.049 0.500 0.795
0.250 0.500 0.460
0.451 0.500 0.795
0.500 0.000 0.500
0.549 0.500 0.205
0.750 0.500 0.540
0.951 0.500 0.205

---

(3)
TbPr2Tm7, optimized geometry, DFT PBE; energy = -0.33238 Ry per atom; offset from the most stable computed form = 0 meV/atom; ΔE_f = 0.027 eV/atom; symmetry = P-1
1.0
6.123 0.000 0.000
-1.011 6.044 0.000
-3.055 -2.580 8.467
Tb Pr Tm
1 2 7
direct
0.000 0.000 0.000
0.399 0.499 0.299
0.601 0.501 0.701
0.000 0.500 0.500
0.198 0.998 0.400
0.202 0.500 0.901
0.398 0.999 0.800
0.602 0.001 0.200
0.798 0.500 0.099
0.802 0.002 0.600

---

(4)
KCu2Ni2, optimized geometry, DFT PBE; energy = -0.27873 Ry per atom; offset from the most stable computed form = 0 meV/atom; ΔE_f = 0.378 eV/atom; symmetry = P4/mbm
1.0
7.627 0.000 0.000
0.000 7.627 0.000
0.000 0.000 2.574
K Cu Ni
2 4 4
direct
0.000 0.000 0.000
0.500 0.500 0.000
0.173 0.327 0.500
0.327 0.827 0.500
0.673 0.173 0.500
0.827 0.673 0.500
0.114 0.614 0.000
0.386 0.114 0.000
0.614 0.886 0.000
0.886 0.386 0.000

---

(5)
CeTmSnPb, optimized geometry, DFT PBE; energy = -0.36854 Ry per atom; offset from the most stable computed form = 0 meV/atom; ΔE_f = -0.485 eV/atom; symmetry = Pmmm
1.0
4.459 0.000 0.000
0.000 4.978 0.000
0.000 0.000 4.984
Ce Tm Sn Pb
1 1 1 1
direct
0.000 0.000 0.000
0.000 0.500 0.500
0.500 0.000 0.500
0.500 0.500 0.000

---

(6)
LaScTa2, optimized geometry, DFT PBE; energy = -0.61039 Ry per atom; offset from the most stable computed form = 229 meV/atom; ΔE_f = 0.436 eV/atom; symmetry = C2/m
1.0
10.374 0.000 0.000
0.000 3.072 0.000
-0.484 0.000 5.858
La Sc Ta
2 2 4
direct
0.000 0.000 0.000
0.500 0.500 0.000
0.000 0.500 0.500
0.500 0.000 0.500
0.238 0.000 0.699
0.262 0.500 0.301
0.738 0.500 0.699
0.762 0.000 0.301

---

(7)
Dy6InCu2, optimized geometry, DFT PBE; energy = -0.33166 Ry per atom; ΔE_f = -0.230 eV/atom; symmetry = Immm
1.0
-4.693 4.926 5.139
4.693 -4.926 5.139
4.693 4.926 -5.139
Dy In Cu
12 2 4
direct
0.040 0.238 0.802
0.185 0.283 0.468
0.185 0.717 0.901
0.322 0.017 0.695
0.322 0.627 0.305
0.436 0.238 0.198
0.564 0.762 0.802
0.678 0.373 0.695
0.678 0.983 0.305
0.815 0.283 0.099
0.815 0.717 0.532
0.960 0.762 0.198
0.000 0.000 0.000
0.500 0.500 0.000
0.119 0.619 0.500
0.347 0.000 0.347
0.653 0.000 0.653
0.881 0.381 0.500

---

(8)
RbReN2F, optimized geometry, DFT PBE; energy = -0.50498 Ry per atom; offset from the most stable computed form = 0 meV/atom; E_form (uncorrected) = -0.4830 eV/atom; symmetry = P4/mmm
1.0
3.899 0.000 0.000
0.000 3.899 0.000
0.000 0.000 4.744
Rb Re N F
1 1 2 1
direct
0.000 0.000 0.000
0.500 0.500 0.500
0.000 0.500 0.500
0.500 0.000 0.500
0.500 0.500 0.000

---

(9)
MnBeTl2, optimized geometry, DFT PBE; energy = -0.28291 Ry per atom; offset from the most stable computed form = 130 meV/atom; ΔE_f = 0.558 eV/atom; symmetry = Cm
1.0
11.932 0.000 0.000
0.000 3.254 0.000
-1.574 0.000 4.086
Mn Be Tl
2 2 4
direct
0.000 0.000 0.000
0.500 0.500 0.000
0.341 0.000 0.841
0.841 0.500 0.841
0.092 0.500 0.591
0.308 0.500 0.307
0.592 0.000 0.591
0.808 0.000 0.307

---

(10)
BeSi3Sn, optimized geometry, DFT PBE; energy = -0.30591 Ry per atom; offset from the most stable computed form = 0 meV/atom; E_form (uncorrected) = 0.6376 eV/atom; symmetry = Pm-3m
1.0
4.448 0.000 0.000
0.000 4.448 0.000
0.000 0.000 4.448
Be Si Sn
1 3 1
direct
0.000 0.000 0.000
0.000 0.000 0.500
0.000 0.500 0.000
0.500 0.000 0.000
0.500 0.500 0.500

---

(11)
GdTh2Pa, optimized geometry, DFT PBE; energy = -0.68483 Ry per atom; offset from the most stable computed form = 201 meV/atom; ΔE_f = 0.287 eV/atom; symmetry = R-3m
1.0
3.389 0.000 0.000
-1.695 2.935 0.000
0.000 0.000 37.098
Gd Th Pa
3 6 3
direct
0.000 0.000 0.000
0.333 0.667 0.667
0.667 0.333 0.333
0.000 0.000 0.088
0.000 0.000 0.912
0.333 0.667 0.578
0.333 0.667 0.755
0.667 0.333 0.245
0.667 0.333 0.422
0.000 0.000 0.500
0.333 0.667 0.167
0.667 0.333 0.833

---

(12)
HfPNF2, optimized geometry, DFT PBE; energy = -0.41952 Ry per atom; offset from the most stable computed form = 1030 meV/atom; E_form (uncorrected) = -0.2216 eV/atom; symmetry = P4/mmm
1.0
4.526 0.000 0.000
0.000 4.526 0.000
0.000 0.000 3.335
Hf P N F
1 1 1 2
direct
0.000 0.000 0.000
0.500 0.500 0.500
0.500 0.500 0.000
0.000 0.500 0.500
0.500 0.000 0.500

---

(13)
BaZn2HgPd, optimized geometry, DFT PBE; energy = -0.17039 Ry per atom; ΔE_f = -0.325 eV/atom; symmetry = P4/mmm
1.0
4.954 0.000 0.000
0.000 4.954 0.000
0.000 0.000 5.353
Ba Zn Hg Pd
1 2 1 1
direct
0.000 0.000 0.000
0.000 0.500 0.500
0.500 0.000 0.500
0.500 0.500 0.000
0.500 0.500 0.500

---

(14)
LaGa3IrRh, optimized geometry, DFT PBE; energy = -0.40862 Ry per atom; ΔE_f = -0.523 eV/atom; symmetry = Cmcm
1.0
3.929 -5.503 0.000
3.929 5.503 0.000
0.000 0.000 5.942
La Ga Ir Rh
2 6 2 2
direct
0.239 0.761 0.750
0.761 0.239 0.250
0.250 0.250 0.000
0.250 0.250 0.500
0.259 0.741 0.250
0.741 0.259 0.750
0.750 0.750 0.000
0.750 0.750 0.500
0.045 0.955 0.250
0.955 0.045 0.750
0.469 0.531 0.250
0.531 0.469 0.750

---

(15)
ZnCuOs2, optimized geometry, DFT PBE; energy = -0.49956 Ry per atom; ΔE_f = 0.161 eV/atom; symmetry = Pmm2
1.0
2.755 0.000 0.000
0.000 3.763 0.000
0.000 0.000 5.393
Zn Cu Os
1 1 2
direct
0.000 0.000 0.000
0.500 0.500 0.210
0.000 0.000 0.498
0.500 0.500 0.703

---

(16)
Na4B7C, optimized geometry, DFT PBE; energy = -0.35795 Ry per atom; offset from the most stable computed form = 11 meV/atom; ΔE_f = 0.233 eV/atom; symmetry = Pmm2
1.0
2.816 0.000 0.000
0.000 8.697 0.000
0.000 0.000 5.392
Na B C
4 7 1
direct
0.000 0.248 0.000
0.000 0.752 0.000
0.500 0.250 0.498
0.500 0.750 0.498
0.000 0.000 0.343
0.000 0.000 0.655
0.000 0.500 0.316
0.000 0.500 0.650
0.500 0.000 0.154
0.500 0.000 0.843
0.500 0.500 0.865
0.500 0.500 0.160

---

(17)
InTe3Mo, optimized geometry, DFT PBE; energy = -0.25331 Ry per atom; offset from the most stable computed form = 881 meV/atom; E_form (uncorrected) = 1.1524 eV/atom; symmetry = Pm-3m
1.0
5.626 0.000 0.000
0.000 5.626 0.000
0.000 0.000 5.626
In Te Mo
1 3 1
direct
0.000 0.000 0.000
0.000 0.000 0.500
0.000 0.500 0.000
0.500 0.000 0.000
0.500 0.500 0.500

---

(18)
MgTe2Cl, optimized geometry, DFT PBE; energy = -0.23261 Ry per atom; offset from the most stable computed form = 0 meV/atom; E_form (uncorrected) = -0.7337 eV/atom; symmetry = Cmmm
1.0
4.974 0.000 0.000
0.000 10.756 0.000
0.000 0.000 4.610
Mg Te Cl
2 4 2
direct
0.000 0.000 0.000
0.500 0.500 0.000
0.000 0.186 0.500
0.000 0.814 0.500
0.500 0.314 0.500
0.500 0.686 0.500
0.000 0.500 0.000
0.500 0.000 0.000

---

(19)
BaSc2Zn, optimized geometry, DFT PBE; energy = -0.28756 Ry per atom; ΔE_f = 0.052 eV/atom; symmetry = P4/mmm
1.0
3.486 0.000 0.000
0.000 3.486 0.000
0.000 0.000 9.207
Ba Sc Zn
1 2 1
direct
0.000 0.000 0.000
0.500 0.500 0.332
0.500 0.500 0.668
0.000 0.000 0.500

---

(20)
DyPu2Np, optimized geometry, DFT PBE; energy = -0.80708 Ry per atom; ΔE_f = 0.571 eV/atom; symmetry = R-3m
1.0
3.685 0.000 0.000
-1.842 3.191 0.000
0.000 0.000 26.213
Dy Pu Np
3 6 3
direct
0.000 0.000 0.000
0.333 0.667 0.667
0.667 0.333 0.333
0.000 0.000 0.117
0.000 0.000 0.883
0.333 0.667 0.550
0.333 0.667 0.784
0.667 0.333 0.216
0.667 0.333 0.450
0.000 0.000 0.500
0.333 0.667 0.167
0.667 0.333 0.833